Record 1
Below is a relaxed Li2U4S9 crystal, with properties calculated at the GGA-PBE level.

Results
* SG: No. 15
* magnetic moment: 16.00 μB per cell
* formation energy (no corrections): -1.310 eV per atom

Cell: 6.7804 6.7828 18.2847 Å, 90.00 90.00 60.01°
Closest atoms and distances in Å follow each position.
Fractional coordinates of all 30 atoms:
Li: 0.0007 0.9996 0.6601  6 S 2.69-2.77
Li: 0.0004 0.0003 0.8401  6 S 2.69-2.77
Li: 0.9996 0.9997 0.1599  6 S 2.69-2.77
Li: 0.9993 0.0004 0.3399  6 S 2.69-2.77
S: 0.6754 0.9592 0.4194  3 U 2.69-2.74, 1 Li 2.76
S: 0.3130 0.9999 0.2500  2 U 2.64, 2 Li 2.69
S: 0.6346 0.0408 0.0806  3 U 2.68-2.74, 1 Li 2.76
S: 0.6862 0.3135 0.2500  2 U 2.64, 2 Li 2.69
S: 0.3244 0.6346 0.0805  3 U 2.68-2.74, 1 Li 2.76
S: 0.3650 0.6756 0.4195  3 U 2.69-2.74, 1 Li 2.77
S: 0.9591 0.3655 0.4194  3 U 2.69-2.74, 1 Li 2.76
S: 0.3654 0.9592 0.9194  3 U 2.68-2.74, 1 Li 2.76
S: 0.0005 0.3134 0.7501  2 U 2.64, 2 Li 2.69
S: 0.6870 0.0001 0.7500  2 U 2.64, 2 Li 2.69
S: 0.0409 0.6345 0.5806  3 U 2.69-2.74, 1 Li 2.76
S: 0.3246 0.0408 0.5806  3 U 2.69-2.74, 1 Li 2.76
S: 0.9593 0.6757 0.9195  3 U 2.68-2.74, 1 Li 2.77
S: 0.0407 0.3243 0.0805  3 U 2.68-2.74, 1 Li 2.77
S: 0.3138 0.6865 0.7500  2 U 2.64, 2 Li 2.69
S: 0.6756 0.3654 0.9195  3 U 2.68-2.74, 1 Li 2.76
S: 0.6350 0.3244 0.5805  3 U 2.69-2.74, 1 Li 2.77
S: 0.9995 0.6866 0.2499  2 U 2.64, 2 Li 2.69
U: 0.6666 0.6667 0.0188  6 S 2.68-2.71
U: 0.6671 0.6667 0.8180  6 S 2.64-2.74
U: 0.3329 0.3333 0.1820  6 S 2.64-2.74
U: 0.3334 0.3333 0.4812  6 S 2.69-2.71
U: 0.3338 0.3332 0.6820  6 S 2.64-2.74
U: 0.6662 0.6668 0.3180  6 S 2.64-2.74
U: 0.3334 0.3333 0.9812  6 S 2.68-2.71
U: 0.6666 0.6667 0.5188  6 S 2.69-2.71


Record 2
Below is a relaxed SrY3Ru crystal, with properties calculated at the GGA-PBE level.

Results
* E above lowest polymorph: 530.9 meV per atom
* SG: No. 194
* energy of formation from the pure elements: 354 meV per atom
* magnetic moment: 0.00 μB per cell

Cell: 4.4717 4.4717 22.6052 Å, 90.00 90.00 120.00°
Closest atoms and distances in Å follow each position.
Fractional coordinates of all 10 atoms:
Y: 0.3333 0.6667 0.6333  1 Ru 2.64
Y: 0.0000 0.0000 0.2500  3 Ru 2.58
Y: 0.6667 0.3333 0.1333  1 Ru 2.64
Y: 0.6667 0.3333 0.3667  1 Ru 2.64
Y: 0.0000 0.0000 0.7500  3 Ru 2.58
Y: 0.3333 0.6667 0.8667  1 Ru 2.64
Sr: 0.0000 0.0000 0.5000  6 Y 3.97
Sr: 0.0000 0.0000 0.0000  6 Y 3.97
Ru: 0.6667 0.3333 0.2500  5 Y 2.58-2.64
Ru: 0.3333 0.6667 0.7500  5 Y 2.58-2.64


| no. | calculated density (g cm⁻³) |
| --- | --- |
| 1 | 5.7 |
| 2 | 3.9 |